Record 1
Entry from Alexandria: a PBEsol-optimized structure of BaTcP2O (meta-GGA SCAN).

Results
**Space group**: P4/mmm, No. 123
**Energy**: -105.027 eV for the cell shown
**M_tot**: 0.000 μB per formula unit
**Crystal system**: tetragonal
**Theoretical density**: 5.68 g cm⁻³
**E_form (uncorrected)**: -0.678 eV/atom

POSCAR file:
```
BaTcP2O
1.0
3.8771 0.0000 0.0000
0.0000 4.8593 0.0000
0.0000 0.0000 4.8593
P Ba O Tc
2 1 1 1
Direct
0.0000 0.0000 0.5000
0.0000 0.5000 0.0000
0.5000 0.5000 0.5000
0.5000 0.0000 0.0000
0.0000 0.0000 0.0000
```


Record 2
Entry from Alexandria: a PBEsol-optimized structure of CoSi3Pb (meta-GGA SCAN).

Results
**Space group**: Pm-3m, No. 221
**Energy**: -112.692 eV for the cell shown
**M_tot**: 2.066 μB per formula unit
**Crystal system**: cubic
**Theoretical density**: 4.20 g cm⁻³
**E_form (uncorrected)**: 2.088 eV/atom

POSCAR file:
```
CoSi3Pb
1.0
5.1756 0.0000 0.0000
0.0000 5.1756 0.0000
0.0000 0.0000 5.1756
Pb Si Co
1 3 1
Direct
0.0000 0.0000 0.0000
0.0000 0.5000 0.0000
0.0000 0.0000 0.5000
0.5000 0.0000 0.0000
0.5000 0.5000 0.5000
```


Record 3
Entry from Alexandria: a PBEsol-optimized structure of K4Nb15O24 (meta-GGA SCAN).

Results
**Space group**: C2/m, No. 12
**Energy**: -782.846 eV for the cell shown
**M_tot**: 0.000 μB per formula unit
**Crystal system**: monoclinic
**Theoretical density**: 5.68 g cm⁻³
**E_form (uncorrected)**: -2.396 eV/atom

POSCAR file:
```
K4Nb15O24
1.0
-0.8007 -6.1302 5.3908
1.6342 -2.4315 -8.7627
7.5698 2.9746 4.5069
K Nb O
4 15 24
Direct
0.0000 0.0000 0.0000
0.5000 0.0000 0.0000
0.7468 0.4935 0.9958
0.2532 0.5065 0.0042
0.3091 0.1351 0.7697
0.3681 0.2498 0.4994
0.4379 0.3747 0.2496
0.5000 0.0000 0.5000
0.7476 0.4953 0.5004
0.8260 0.1351 0.7697
0.0632 0.6253 0.7504
0.8817 0.2498 0.4994
0.1183 0.7502 0.5006
0.9368 0.3747 0.2496
0.1740 0.8649 0.2303
0.2524 0.5047 0.4996
0.5621 0.6253 0.7504
0.6319 0.7502 0.5006
0.6909 0.8649 0.2303
0.4333 0.3747 0.7536
0.3069 0.1207 0.2455
0.3808 0.2506 0.0014
0.5638 0.1276 0.7546
0.6238 0.2477 0.5002
0.8123 0.6246 0.7545
0.8752 0.7504 0.5008
0.6856 0.3712 0.2479
0.9337 0.8674 0.2356
0.8698 0.2506 0.0014
0.1302 0.7494 0.9986
0.9414 0.3747 0.7536
0.1862 0.8793 0.7545
0.8138 0.1207 0.2455
0.0586 0.6253 0.2464
0.1877 0.3754 0.2455
0.4362 0.8724 0.2454
0.0663 0.1326 0.7644
0.1248 0.2496 0.4992
0.3144 0.6288 0.7521
0.3762 0.7523 0.4998
0.5667 0.6253 0.2464
0.6931 0.8793 0.7545
0.6192 0.7494 0.9986
```